# 1
The following is a DFT calculation (PBE) of a relaxed LaMn4Re crystal.

The total energy is -51.29 eV/f.u. The calculation puts the formation enthalpy at 0 K at 0.460 eV/atom. As for the volume: 356 Å³ per cell.

It has space group F-43m (No. 216), with a = 7.0887 Å, b = 7.0887 Å, c = 7.0887 Å, α = 90.00°, β = 90.00° and γ = 90.00°. Symmetry generates all atoms from La at (0.0000, 0.0000, 0.0000), Mn at (0.1245, 0.1245, 0.3755) and Re at (0.2500, 0.2500, 0.7500).



# 2
The following is a DFT calculation (PBE) of a relaxed CdFe2CoGe crystal.

The total energy is -21.49 eV/f.u. The calculation puts the formation enthalpy at 0 K at 1.615 eV/atom. As for the volume: 107 Å³ per cell.

It has space group P4/mmm (No. 123), with a = 4.7750 Å, b = 4.7750 Å, c = 4.7111 Å, α = 90.00°, β = 90.00° and γ = 90.00°. Symmetry generates all atoms from Cd at (0.0000, 0.0000, 0.0000), Fe at (0.0000, 0.5000, 0.0000), Co at (0.0000, 0.0000, 0.5000) and Ge at (0.5000, 0.5000, 0.5000).



# 3
The following is a DFT calculation (PBE) of a relaxed AgHPd3 crystal.

The total energy is -22.14 eV/f.u. As for the energy above the most stable polymorph in this dataset: 0.001 eV per atom. As for the volume: 135 Å³ per cell.

It has space group Amm2 (No. 38), with a = 2.8394 Å, b = 5.7297 Å, c = 8.3045 Å, α = 90.00°, β = 90.00° and γ = 90.00°. Symmetry generates all atoms from Ag at (0.0000, 0.0000, 0.0000), H at (0.5000, 0.0000, 0.3690), Pd at (0.0000, 0.0000, 0.5077) and Pd at (0.5000, 0.2429, 0.7466).



# 4
The following is a DFT calculation (PBE) of a relaxed SiAs2CSe crystal.

The total energy is -16.24 eV/f.u. As for the uncorrected formation energy: 2237 meV per atom. As for the energy above the most stable polymorph in this dataset: 1.052 eV per atom. As for the volume: 123 Å³ per cell.

It has space group P4/mmm (No. 123), with a = 4.9964 Å, b = 4.9964 Å, c = 4.9331 Å, α = 90.00°, β = 90.00° and γ = 90.00°. Symmetry generates all atoms from Si at (0.0000, 0.0000, 0.0000), As at (0.0000, 0.5000, 0.5000), C at (0.5000, 0.5000, 0.0000) and Se at (0.0000, 0.0000, 0.5000).



# 5
The following is a DFT calculation (PBE) of a relaxed AgMo2Cl crystal.

The total energy is -22.58 eV/f.u. As for the uncorrected formation energy: 945 meV per atom. As for the energy above the most stable polymorph in this dataset: 0.753 eV per atom. As for the volume: 135 Å³ per cell.

It has space group Cmmm (No. 65), with a = 5.4161 Å, b = 9.0354 Å, c = 2.7598 Å, α = 90.00°, β = 90.00° and γ = 90.00°. Symmetry generates all atoms from Ag at (0.0000, 0.0000, 0.0000), Mo at (0.2500, 0.2500, 0.5000) and Cl at (0.0000, 0.5000, 0.0000).



# 6
The following is a DFT calculation (PBE) of a relaxed Pm4Ag5Hg3 crystal.

The total energy is -35.87 eV/f.u. The calculation puts the formation enthalpy at 0 K at -0.142 eV/atom. As for the volume: 631 Å³ per cell.

It has space group C2/m (No. 12), with a = 15.6288 Å, b = 5.1464 Å, c = 9.6244 Å, α = 90.00°, β = 125.42° and γ = 90.00°. Symmetry generates all atoms from Pm at (0.0400, 0.0000, 0.3489), Pm at (0.2372, 0.5000, 0.2308), Ag at (0.0000, 0.0000, 0.0000), Ag at (0.0982, 0.5000, 0.6598), Ag at (0.2189, 0.5000, 0.5290), Hg at (0.0000, 0.5000, 0.0000) and Hg at (0.1870, 0.0000, 0.0017).



# 7
The following is a DFT calculation (PBE) of a relaxed CrGeB2I crystal.

The total energy is -22.52 eV/f.u. As for the uncorrected formation energy: 1325 meV per atom. As for the volume: 88 Å³ per cell.

It has space group P4/mmm (No. 123), with a = 4.0655 Å, b = 4.0655 Å, c = 5.3051 Å, α = 90.00°, β = 90.00° and γ = 90.00°. Symmetry generates all atoms from Cr at (0.0000, 0.0000, 0.0000), Ge at (0.5000, 0.5000, 0.5000), B at (0.0000, 0.5000, 0.0000) and I at (0.0000, 0.0000, 0.5000).



# 8
The following is a DFT calculation (PBE) of a relaxed TcSO crystal.

The total energy is -22.19 eV/f.u. As for the uncorrected formation energy: -914 meV per atom. As for the energy above the most stable polymorph in this dataset: 0.000 eV per atom. As for the volume: 100 Å³ per cell.

It has space group P-1 (No. 2), with a = 2.9861 Å, b = 5.2678 Å, c = 6.6133 Å, α = 105.30°, β = 90.96° and γ = 90.00°. Symmetry generates all atoms from Tc at (0.2502, 0.2237, 0.0060), S at (0.2403, 0.8378, 0.7367) and O at (0.2557, 0.6259, 0.1511).